# Pr2PtAu

An optimized crystal structure of Pr2PtAu (GGA-PBE, Alexandria via LeMat-Bulk).

The structure in POSCAR format:
```
Pr2PtAu
1.0
2.1311 1.2304 7.1842
-2.1311 1.2304 7.1842
0.0000 -2.4608 7.1842
Pr Pt Au
2 1 1
Cartesian
0.0000 0.0000 5.2527
0.0000 0.0000 16.3001
0.0000 0.0000 10.7764
0.0000 0.0000 0.0000
```

Properties
Its volume is 113.0 Å³ per cell. The crystal system is trigonal. The formation energy is -3.52 eV per formula unit.

# Mn4Co3Ni

An optimized crystal structure of Mn4Co3Ni (GGA-PBE, Alexandria via LeMat-Bulk).

The structure in POSCAR format:
```
Mn4Co3Ni
1.0
-2.0325 2.0325 5.7570
2.0325 -2.0325 5.7570
2.0325 2.0325 -5.7570
Mn Co Ni
4 3 1
Cartesian
2.0325 0.0000 1.4575
2.0325 0.0000 4.2995
0.0000 2.0325 1.4575
0.0000 2.0325 4.2995
0.0000 0.0000 0.0000
0.0000 0.0000 2.8785
0.0000 0.0000 8.6355
0.0000 0.0000 5.7570
```

Properties
Its volume is 95.1 Å³ per cell. The crystal system is tetragonal. The formation energy is -0.05 eV per formula unit.

# Nd7PtI12

An optimized crystal structure of Nd7PtI12 (GGA-PBE, Alexandria via LeMat-Bulk).

The structure in POSCAR format:
```
Nd7PtI12
1.0
8.1035 4.6786 3.6639
-8.1035 4.6786 3.6639
0.0000 -9.3571 3.6639
Nd Pt I
7 1 12
Cartesian
0.0000 0.0000 0.0000
-1.6511 -1.6421 3.8613
-0.5966 2.2510 3.8613
2.2477 -0.6089 3.8613
-2.2477 0.6088 7.1304
0.5966 -2.2510 7.1304
1.6511 1.6421 7.1304
0.0000 0.0000 5.4959
-2.5490 0.7027 1.7590
0.6660 -2.5588 1.7590
-4.3990 -1.1331 5.4316
-1.2182 -4.3762 5.5602
1.8830 1.8562 1.7590
-3.1808 3.2431 5.5602
3.1808 -3.2431 5.4316
-1.8831 -1.8562 9.2328
1.2182 4.3762 5.4316
4.3990 1.1331 5.5602
-0.6660 2.5589 9.2328
2.5490 -0.7027 9.2328
```

Properties
Its volume is 833.5 Å³ per cell. The crystal system is trigonal. As for the uncorrected formation energy: -26.360 eV/f.u.

# Cr4Ir

An optimized crystal structure of Cr4Ir (GGA-PBE, Alexandria via LeMat-Bulk).

The structure in POSCAR format:
```
Cr4Ir
1.0
-1.8524 1.8524 4.7959
1.8524 -1.8524 4.7959
1.8524 1.8524 -4.7959
Cr Ir
4 1
Cartesian
0.0000 0.0000 1.0665
1.8524 0.0000 2.3980
0.0000 1.8524 2.3980
0.0000 0.0000 8.5254
0.0000 0.0000 4.7959
```

Properties
Its volume is 65.8 Å³ per cell. The crystal system is tetragonal. The formation energy is 3.19 eV per formula unit. The energy above the most stable polymorph in this dataset comes out at 646 meV/atom.

# PtICl2

An optimized crystal structure of PtICl2 (GGA-PBE, Alexandria via LeMat-Bulk).

The structure in POSCAR format:
```
PtICl2
1.0
0.0000 3.5434 3.5434
3.5434 0.0000 3.5434
3.5434 3.5434 0.0000
Pt I Cl
1 1 2
Cartesian
0.0000 0.0000 0.0000
3.5434 3.5434 3.5434
1.7717 1.7717 1.7717
5.3152 5.3152 5.3152
```

Properties
Its volume is 89.0 Å³ per cell. The crystal system is cubic. As for the uncorrected formation energy: 3.666 eV/f.u. The energy above the most stable polymorph in this dataset comes out at 816 meV/atom.

# Ba3Ni

An optimized crystal structure of Ba3Ni (GGA-PBE, Alexandria via LeMat-Bulk).

The structure in POSCAR format:
```
Ba3Ni
1.0
5.9187 3.4171 1.3985
-5.9187 3.4171 1.3985
0.0000 -6.8343 1.3985
Ba Ni
3 1
Cartesian
-2.9593 -1.7086 1.3985
-2.9593 1.7086 2.7971
0.0000 3.4171 1.3985
0.0000 0.0000 0.0000
```

Properties
Its volume is 169.7 Å³ per cell. The crystal system is trigonal. The formation energy is 2.13 eV per formula unit.

# CaGdMgSc

An optimized crystal structure of CaGdMgSc (GGA-PBE, Alexandria via LeMat-Bulk).

The structure in POSCAR format:
```
CaGdMgSc
1.0
0.0000 3.8873 3.8873
3.8873 0.0000 3.8873
3.8873 3.8873 0.0000
Ca Gd Mg Sc
1 1 1 1
Cartesian
0.0000 0.0000 0.0000
3.8873 3.8873 3.8873
1.9436 1.9436 1.9436
5.8309 5.8309 5.8309
```

Properties
Its volume is 117.5 Å³ per cell. The crystal system is cubic. The formation energy is 0.42 eV per formula unit.

# Er5ZnHg4

An optimized crystal structure of Er5ZnHg4 (GGA-PBE, Alexandria via LeMat-Bulk).

The structure in POSCAR format:
```
Er5ZnHg4
1.0
3.6498 0.0000 0.0000
0.0000 3.6498 0.0000
0.0000 0.0000 18.4115
Er Zn Hg
5 1 4
Cartesian
0.0000 0.0000 0.0000
0.0000 0.0000 3.7453
0.0000 0.0000 7.4997
0.0000 0.0000 10.9118
0.0000 0.0000 14.6662
1.8249 1.8249 9.2057
1.8249 1.8249 1.8691
1.8249 1.8249 5.6337
1.8249 1.8249 12.7778
1.8249 1.8249 16.5423
```

Properties
Its volume is 245.3 Å³ per cell. The crystal system is tetragonal. The formation energy is -4.52 eV per formula unit.

# CaSeI2

An optimized crystal structure of CaSeI2 (GGA-PBE, Alexandria via LeMat-Bulk).

The structure in POSCAR format:
```
CaSeI2
1.0
0.0000 4.0065 4.0065
4.0065 0.0000 4.0065
4.0065 4.0065 0.0000
Ca Se I
1 1 2
Cartesian
0.0000 0.0000 0.0000
4.0065 4.0065 4.0065
2.0032 2.0032 2.0032
6.0097 6.0097 6.0097
```

Properties
Its volume is 128.6 Å³ per cell. The crystal system is cubic. As for the uncorrected formation energy: -2.052 eV/f.u. The energy above the most stable polymorph in this dataset comes out at 33 meV/atom.

# YCo2Ni5

An optimized crystal structure of YCo2Ni5 (GGA-PBE, Alexandria via LeMat-Bulk).

The structure in POSCAR format:
```
YCo2Ni5
1.0
-1.8188 3.3515 4.4379
1.8188 -3.3515 4.4379
1.8188 3.3515 -4.4379
Y Co Ni
1 2 5
Cartesian
0.0000 0.0000 0.0000
1.8188 0.0000 2.1694
0.0000 3.3515 2.2685
1.8188 2.1215 -1.2987
1.8188 2.1215 1.2987
0.0000 3.3515 0.0000
0.0000 1.2300 3.1392
0.0000 1.2300 5.7366
```

Properties
Its volume is 108.2 Å³ per cell. The crystal system is orthorhombic. The formation energy is 0.11 eV per formula unit.

# LaY3Ir

An optimized crystal structure of LaY3Ir (GGA-PBE, Alexandria via LeMat-Bulk).

The structure in POSCAR format:
```
LaY3Ir
1.0
5.4802 0.0000 0.0000
0.0000 5.4802 0.0000
0.0000 0.0000 5.4802
La Y Ir
1 3 1
Cartesian
0.0000 0.0000 0.0000
0.0000 2.7401 2.7401
2.7401 0.0000 2.7401
2.7401 2.7401 0.0000
2.7401 2.7401 2.7401
```

Properties
Its volume is 164.6 Å³ per cell. The crystal system is cubic. The formation energy is -1.55 eV per formula unit. The energy above the most stable polymorph in this dataset comes out at 0 meV/atom.

# Th6Bi5Te

An optimized crystal structure of Th6Bi5Te (GGA-PBE, Alexandria via LeMat-Bulk).

The structure in POSCAR format:
```
Th6Bi5Te
1.0
3.9607 -6.8677 0.0000
3.9607 6.8677 0.0000
-2.6375 0.0000 7.4727
Th Bi Te
6 5 1
Cartesian
-0.0551 2.2122 5.5328
1.2101 0.0000 1.8713
-0.0551 -2.2122 5.5328
5.3391 2.2122 1.9399
4.0740 0.0000 5.6014
5.3391 -2.2122 1.9399
3.9607 4.4740 0.0000
2.6420 2.2528 3.7364
3.9607 0.0000 0.0000
2.6420 -2.2528 3.7364
3.9607 -4.4740 0.0000
-1.3187 0.0000 3.7364
```

Properties
Its volume is 406.5 Å³ per cell. The crystal system is monoclinic. As for the uncorrected formation energy: -7.636 eV/f.u.

# LiLa2NiPb

An optimized crystal structure of LiLa2NiPb (GGA-PBE, Alexandria via LeMat-Bulk).

The structure in POSCAR format:
```
LiLa2NiPb
1.0
5.3617 0.0000 0.0000
0.0000 5.3617 0.0000
0.0000 0.0000 4.8002
Li La Ni Pb
1 2 1 1
Cartesian
0.0000 0.0000 0.0000
0.0000 2.6808 2.4001
2.6808 0.0000 2.4001
0.0000 0.0000 2.4001
2.6808 2.6808 0.0000
```

Properties
Its volume is 138.0 Å³ per cell. The crystal system is tetragonal. The formation energy is -1.54 eV per formula unit.